#one
First-principles (PBEsol) data for a relaxed structure of Sm3NbO7, as listed in Alexandria via LeMat-Bulk.

The structure in extended XYZ format:
```
22
Lattice="5.378 -3.676 0.000 5.378 3.676 0.000 0.000 0.000 7.578" Properties=species:S:1:pos:R:3 pbc="T T T"
Sm 0.000 0.000 0.000
Sm 0.000 0.000 3.789
Sm 2.951 1.497 5.683
Sm 2.951 -1.497 1.894
Sm 7.805 1.497 5.683
Sm 7.805 -1.497 1.894
Nb 5.378 0.000 0.000
Nb 5.378 0.000 3.789
O 1.410 0.175 1.894
O 1.410 -0.175 5.683
O 3.995 1.411 0.285
O 3.995 1.411 3.504
O 5.378 0.591 5.683
O 6.761 1.411 0.285
O 6.761 1.411 3.504
O 3.995 -1.411 4.074
O 3.995 -1.411 7.293
O 5.378 -0.591 1.894
O 6.761 -1.411 4.074
O 6.761 -1.411 7.293
O 9.347 0.175 1.894
O 9.347 -0.175 5.683
```

Properties
**N(E_F)**: 0.0000 states/eV/atom

***

#two
First-principles (PBEsol) data for a relaxed structure of Sm3NbO7, as listed in Alexandria via LeMat-Bulk.

The structure in extended XYZ format:
```
22
Lattice="3.817 -5.332 0.000 3.817 5.332 0.000 0.000 0.000 7.554" Properties=species:S:1:pos:R:3 pbc="T T T"
Sm 0.265 0.000 0.000
Sm 2.048 2.455 1.972
Sm 2.048 -2.455 5.582
Sm 5.585 2.455 1.805
Sm 5.585 -2.455 5.750
Sm 7.368 0.000 3.777
Nb 3.806 0.000 3.777
Nb 3.828 0.000 0.000
O 3.817 3.953 5.666
O 3.817 3.865 1.889
O 2.247 1.305 7.394
O 2.470 1.358 4.122
O 2.247 -1.305 0.160
O 3.817 0.723 1.889
O 2.470 -1.358 3.432
O 5.164 1.358 7.209
O 3.817 -0.723 5.666
O 5.386 1.305 3.937
O 5.164 -1.358 0.345
O 5.386 -1.305 3.617
O 3.817 -3.865 5.666
O 3.817 -3.953 1.889
```

Properties
**N(E_F)**: 0.0000 states/eV/atom

***

How do the energies compare? Relative to the most stable structure, in eV/atom: #one 0.016; #two 0.000.

***

#one
First-principles (PBEsol) data for a relaxed structure of Tb3NbO7, as listed in Alexandria via LeMat-Bulk.

The structure in extended XYZ format:
```
22
Lattice="3.758 -5.245 0.000 3.758 5.245 0.000 0.000 0.000 7.433" Properties=species:S:1:pos:R:3 pbc="T T T"
Tb 0.269 0.000 0.000
Tb 2.018 2.421 1.940
Tb 2.018 -2.421 5.493
Tb 5.498 2.421 1.776
Tb 5.498 -2.421 5.657
Tb 7.248 0.000 3.717
Nb 3.746 0.000 3.717
Nb 3.771 0.000 0.000
O 3.758 3.889 5.575
O 3.758 3.792 1.858
O 2.190 1.295 7.270
O 2.413 1.349 4.072
O 2.190 -1.295 0.163
O 3.758 0.763 1.858
O 2.413 -1.349 3.361
O 5.104 1.349 7.078
O 3.758 -0.763 5.575
O 5.327 1.295 3.879
O 5.104 -1.349 0.356
O 5.327 -1.295 3.554
O 3.758 -3.792 5.575
O 3.758 -3.889 1.858
```

Properties
**N(E_F)**: 0.0000 states/eV/atom

***

#two
First-principles (PBEsol) data for a relaxed structure of Tb3NbO7, as listed in Alexandria via LeMat-Bulk.

The structure in extended XYZ format:
```
22
Lattice="5.276 -3.629 0.000 5.276 3.629 0.000 0.000 0.000 7.471" Properties=species:S:1:pos:R:3 pbc="T T T"
Tb 0.000 0.000 0.000
Tb 0.000 0.000 3.735
Tb 2.882 1.506 5.603
Tb 2.882 -1.506 1.868
Tb 7.670 1.506 5.603
Tb 7.670 -1.506 1.868
Nb 5.276 0.000 0.000
Nb 5.276 0.000 3.735
O 1.390 0.166 1.868
O 1.390 -0.166 5.603
O 3.904 1.413 0.286
O 3.904 1.413 3.450
O 5.276 0.630 5.603
O 6.648 1.413 0.286
O 6.648 1.413 3.450
O 3.904 -1.413 4.021
O 3.904 -1.413 7.185
O 5.276 -0.630 1.868
O 6.648 -1.413 4.021
O 6.648 -1.413 7.185
O 9.162 0.166 1.868
O 9.162 -0.166 5.603
```

Properties
**N(E_F)**: 0.0000 states/eV/atom

***

How do the energies compare? Relative to the most stable structure, in eV/atom: #one 0.000; #two 0.025.

***

#one
First-principles (PBEsol) data for a relaxed structure of Ti3NbO8, as listed in Alexandria via LeMat-Bulk.

The structure in extended XYZ format:
```
24
Lattice="5.908 0.000 0.000 -2.954 5.116 0.000 0.000 0.000 9.297" Properties=species:S:1:pos:R:3 pbc="T T T"
Ti 0.000 1.723 0.000
Ti -1.461 4.254 0.000
Ti 1.493 0.862 4.648
Ti 1.461 4.254 0.000
Ti 4.415 0.862 4.648
Ti 2.954 3.393 4.648
Nb 0.000 3.411 6.734
Nb 2.954 1.705 2.085
O 0.000 0.000 3.749
O 0.000 0.000 8.398
O -1.295 2.663 8.165
O 0.000 1.726 5.704
O -1.459 4.253 5.704
O 0.000 3.411 1.008
O 1.495 0.863 1.056
O 1.295 2.663 8.165
O 0.000 4.906 8.165
O 2.954 0.210 3.516
O 1.659 2.453 3.516
O 1.459 4.253 5.704
O 2.954 1.705 5.657
O 4.413 0.863 1.056
O 2.954 3.390 1.056
O 4.249 2.453 3.516
```

Properties
**N(E_F)**: 0.4388 states/eV/atom

***

#two
First-principles (PBEsol) data for a relaxed structure of Ti3NbO8, as listed in Alexandria via LeMat-Bulk.

The structure in extended XYZ format:
```
12
Lattice="4.678 0.000 0.000 0.000 2.955 0.000 -0.097 0.000 9.354" Properties=species:S:1:pos:R:3 pbc="T T T"
Ti 0.000 0.000 0.000
Ti 2.245 1.477 7.106
Ti 2.336 1.477 2.247
Nb -0.048 0.000 4.677
O 0.802 1.477 8.443
O 0.968 1.477 3.695
O 1.337 0.000 6.140
O 1.436 0.000 1.383
O 3.145 0.000 7.970
O 3.244 0.000 3.213
O 3.613 1.477 5.659
O 3.779 1.477 0.911
```

Properties
**N(E_F)**: 0.3396 states/eV/atom

***

How do the energies compare? Relative to the most stable structure, in eV/atom: #one 0.076; #two 0.000.

***

#one
First-principles (PBEsol) data for a relaxed structure of NbTc3Pt, as listed in Alexandria via LeMat-Bulk.

The structure in extended XYZ format:
```
5
Lattice="4.571 0.000 0.000 0.000 4.571 0.000 0.000 0.000 4.571" Properties=species:S:1:pos:R:3 pbc="T T T"
Nb 0.000 0.000 0.000
Tc 0.000 0.000 2.286
Tc 0.000 2.286 0.000
Tc 2.286 0.000 0.000
Pt 2.286 2.286 2.286
```

Properties
**N(E_F)**: 1.2486 states/eV/atom

***

#two
First-principles (PBEsol) data for a relaxed structure of NbTc3Pt, as listed in Alexandria via LeMat-Bulk.

The structure in extended XYZ format:
```
5
Lattice="4.607 0.000 0.000 0.000 4.607 0.000 0.000 0.000 4.607" Properties=species:S:1:pos:R:3 pbc="T T T"
Nb 0.000 0.000 0.000
Tc 0.000 2.303 2.303
Tc 2.303 0.000 2.303
Tc 2.303 2.303 0.000
Pt 2.303 2.303 2.303
```

Properties
**N(E_F)**: 1.9277 states/eV/atom

***

How do the energies compare? Relative to the most stable structure, in eV/atom: #one 0.000; #two 0.010.

***

#one
First-principles (PBEsol) data for a relaxed structure of RbNb3Sn, as listed in Alexandria via LeMat-Bulk.

The structure in extended XYZ format:
```
5
Lattice="5.211 0.000 0.000 0.000 5.211 0.000 0.000 0.000 5.211" Properties=species:S:1:pos:R:3 pbc="T T T"
Rb 0.000 0.000 0.000
Nb 0.000 2.606 2.606
Nb 2.606 0.000 2.606
Nb 2.606 2.606 0.000
Sn 2.606 2.606 2.606
```

Properties
**N(E_F)**: 1.2628 states/eV/atom

***

#two
First-principles (PBEsol) data for a relaxed structure of RbNb3Sn, as listed in Alexandria via LeMat-Bulk.

The structure in extended XYZ format:
```
5
Lattice="4.765 0.000 0.000 0.000 4.765 0.000 0.000 0.000 4.765" Properties=species:S:1:pos:R:3 pbc="T T T"
Rb 0.000 0.000 0.000
Nb 0.000 0.000 2.382
Nb 0.000 2.382 0.000
Nb 2.382 0.000 0.000
Sn 2.382 2.382 2.382
```

Properties
**N(E_F)**: 0.8600 states/eV/atom

***

How do the energies compare? Relative to the most stable structure, in eV/atom: #one 0.000; #two 0.527.

***

#one
First-principles (PBEsol) data for a relaxed structure of Nb3SbRu, as listed in Alexandria via LeMat-Bulk.

The structure in extended XYZ format:
```
5
Lattice="4.885 0.000 0.000 0.000 4.885 0.000 0.000 0.000 4.885" Properties=species:S:1:pos:R:3 pbc="T T T"
Nb 0.000 0.000 2.442
Nb 0.000 2.442 0.000
Nb 2.442 0.000 0.000
Sb 0.000 0.000 0.000
Ru 2.442 2.442 2.442
```

Properties
**N(E_F)**: 1.2027 states/eV/atom

***

#two
First-principles (PBEsol) data for a relaxed structure of Nb3SbRu, as listed in Alexandria via LeMat-Bulk.

The structure in extended XYZ format:
```
5
Lattice="4.766 0.000 0.000 0.000 4.766 0.000 0.000 0.000 4.766" Properties=species:S:1:pos:R:3 pbc="T T T"
Nb 0.000 0.000 2.383
Nb 0.000 2.383 0.000
Nb 2.383 0.000 0.000
Sb 2.383 2.383 2.383
Ru 0.000 0.000 0.000
```

Properties
**N(E_F)**: 1.2590 states/eV/atom

***

How do the energies compare? Relative to the most stable structure, in eV/atom: #one 1.168; #two 0.000.